[1]
A plane-wave DFT calculation with PBE with a Hubbard U was carried out for K2WF8 after structural relaxation.

The structure in extended XYZ format:
```
11
Lattice="5.2690 -4.2007 0.0000 5.2690 4.2007 0.0000 -1.2396 0.0000 4.8793" Properties=species:S:1:pos:R:3 pbc="T T T"
K 0.9573 0.0000 1.5434
K 8.3412 0.0000 3.3359
W 5.2690 0.0000 0.0000
F 0.2774 0.0000 3.9593
F 3.2026 1.3305 3.8395
F 3.8158 0.0000 1.1938
F 6.0958 1.3305 1.0398
F 3.2026 -1.3305 3.8395
F 5.4827 0.0000 3.6855
F 6.0958 -1.3305 1.0398
F 9.0210 0.0000 0.9200
```

Properties
Total energy in Ha/atom: -0.1763
Volume in Å³/cell: 216.0

[2]
A plane-wave DFT calculation with PBE with a Hubbard U was carried out for KW2F after structural relaxation.

The structure in extended XYZ format:
```
4
Lattice="0.0000 3.7312 3.7312 3.7312 0.0000 3.7312 3.7312 3.7312 0.0000" Properties=species:S:1:pos:R:3 pbc="T T T"
K 0.0000 0.0000 0.0000
W 1.8656 1.8656 1.8656
W 5.5968 5.5968 5.5968
F 3.7312 3.7312 3.7312
```

Properties
Total energy in Ha/atom: -0.1065
Energy relative to the lowest polymorph listed for this composition in meV/atom: 687
Volume in Å³/cell: 103.9

[3]
A plane-wave DFT calculation with PBE with a Hubbard U was carried out for K2WF6 after structural relaxation.

The structure in extended XYZ format:
```
18
Lattice="5.6307 0.0000 0.0000 0.0000 5.6307 0.0000 0.0000 0.0000 11.3728" Properties=species:S:1:pos:R:3 pbc="T T T"
K 0.0000 0.0000 1.8781
K 0.0000 0.0000 9.4947
K 2.8153 2.8153 3.8083
K 2.8153 2.8153 7.5645
W 0.0000 0.0000 5.6864
W 2.8153 2.8153 0.0000
F 0.9928 0.9928 4.2125
F 0.9928 0.9928 7.1603
F 1.3993 1.3993 0.0000
F 1.4161 4.2146 5.6864
F 1.8225 3.8082 1.4739
F 1.8225 3.8082 9.8988
F 3.8082 1.8225 1.4739
F 3.8082 1.8225 9.8988
F 4.2146 1.4161 5.6864
F 4.2314 4.2314 0.0000
F 4.6378 4.6378 4.2125
F 4.6378 4.6378 7.1603
```

Properties
Total energy in Ha/atom: -0.1898
Volume in Å³/cell: 360.6

[4]
A plane-wave DFT calculation with PBE with a Hubbard U was carried out for K2WF2 after structural relaxation.

The structure in extended XYZ format:
```
10
Lattice="7.7849 0.0000 0.0000 0.0000 7.7849 0.0000 0.0000 0.0000 3.7003" Properties=species:S:1:pos:R:3 pbc="T T T"
K 1.1308 2.7617 0.0000
K 2.7617 6.6541 0.0000
K 5.0232 1.1308 0.0000
K 6.6541 5.0232 0.0000
W 0.0000 0.0000 1.8501
W 3.8924 3.8924 1.8501
F 1.2302 5.1226 1.8501
F 2.6622 1.2302 1.8501
F 5.1226 6.5547 1.8501
F 6.5547 2.6622 1.8501
```

Properties
Total energy in Ha/atom: -0.1357
Energy relative to the lowest polymorph listed for this composition in meV/atom: 302
Volume in Å³/cell: 224.3

[5]
A plane-wave DFT calculation with PBE with a Hubbard U was carried out for K2WF7 after structural relaxation.

The structure in extended XYZ format:
```
20
Lattice="6.9076 -3.4585 0.0000 6.9076 3.4585 0.0000 -6.1681 0.0000 7.4308" Properties=species:S:1:pos:R:3 pbc="T T T"
K 0.9070 0.5224 2.0853
K -2.1770 -0.5224 5.8007
K 9.8242 0.5224 1.6301
K 6.7401 -0.5224 5.3455
W 5.3656 0.8226 1.8577
W 2.2816 -0.8226 5.5731
F 5.3656 2.8223 1.8577
F 3.4215 1.3318 1.7447
F -0.4540 1.1160 7.3534
F 1.3931 0.7957 4.7949
F 5.0171 1.1160 3.7928
F 7.3097 1.3318 1.9707
F 3.1700 0.7957 6.3513
F 4.4771 -0.7957 1.0795
F 0.3374 -1.3318 5.4601
F 2.6300 -1.1160 3.6380
F 6.2541 -0.7957 2.6359
F 8.1012 -1.1160 0.0774
F 4.2257 -1.3318 5.6861
F 2.2816 -2.8223 5.5731
```

Properties
Total energy in Ha/atom: -0.1870
Volume in Å³/cell: 355.0

[6]
A plane-wave DFT calculation with PBE with a Hubbard U was carried out for KZn2WF8 after structural relaxation.

The structure in extended XYZ format:
```
12
Lattice="2.6798 1.5472 8.6707 -2.6798 1.5472 8.6707 0.0000 -3.0944 8.6707" Properties=species:S:1:pos:R:3 pbc="T T T"
K 0.0000 0.0000 0.0000
Zn 0.0000 0.0000 6.6328
Zn 0.0000 0.0000 19.3793
W 0.0000 0.0000 13.0061
F -0.9805 -1.2353 11.5810
F -0.5796 -1.4668 14.4311
F 0.0000 0.0000 8.4859
F -0.5796 1.4668 11.5810
F -0.9805 1.2353 14.4311
F 0.0000 0.0000 17.5263
F 1.5600 -0.2315 11.5810
F 1.5600 0.2315 14.4311
```

Properties
Total energy in Ha/atom: -0.1652
Volume in Å³/cell: 215.7

Question: Number 3 is which compound?
Answer: K2WF6

Question: total energy of number 3 (K2WF6)?
Answer: -0.1898 Ha/atom

Question: Look up the total energy of the second one.
Answer: -0.1065 Ha/atom